Record 1
Entry from Alexandria via LeMat-Bulk: a relaxed Rb2CrI5 crystal (PBE).

total magnetization: 0.37 μB/atom
VASP energy: -3.320 eV per atom
ΔE_f (raw): -0.906 eV per atom
symmetry: No. 8

Cell: 10.2672 12.0801 7.8937 Å, 90.00 130.11 90.00°
With the nearest neighbours (Å) after each atom.
Fractional coordinates of all 16 atoms:
Rb: 0.0000 0.2449 0.0000  9 I 3.93-4.15
Rb: 0.0000 0.7551 0.0000  9 I 3.93-4.15
Rb: 0.5000 0.2551 0.0000  9 I 3.93-4.15
Rb: 0.5000 0.7449 0.0000  9 I 3.93-4.15
Cr: 0.4622 0.0000 0.4938  5 I 2.59-2.72
Cr: 0.9622 0.5000 0.4938  5 I 2.59-2.72
I: 0.0010 0.2773 0.4967  1 Cr 2.72
I: 0.0010 0.7227 0.4967  1 Cr 2.72
I: 0.2030 0.0000 0.4792  1 Cr 2.59
I: 0.2136 0.5000 0.9408  1 Cr 2.72
I: 0.2862 0.0000 0.0499  1 Cr 2.72
I: 0.5010 0.2227 0.4967  1 Cr 2.72
I: 0.5010 0.7773 0.4967  1 Cr 2.72
I: 0.7030 0.5000 0.4792  1 Cr 2.59
I: 0.7136 0.0000 0.9408  1 Cr 2.72
I: 0.7862 0.5000 0.0499  1 Cr 2.72


Record 2
Entry from Alexandria via LeMat-Bulk: a relaxed La2Cu12Ni3Pd crystal (PBE).

total magnetization: 0.00 μB/atom
VASP energy: -4.330 eV per atom
DFT formation energy: 0.200 eV/atom
symmetry: No. 166

Cell: 9.8823 9.8823 9.8823 Å, 35.40 35.40 35.40°
With the nearest neighbours (Å) after each atom.
Fractional coordinates of all 18 atoms:
La: 0.1457 0.1457 0.1457  12 Cu 3.09-3.37
La: 0.8543 0.8543 0.8543  12 Cu 3.09-3.37
Cu: 0.0855 0.0855 0.6918  2 Ni 2.32, 4 Cu 2.37-2.41
Cu: 0.0855 0.6918 0.0855  2 Ni 2.32, 4 Cu 2.37-2.41
Cu: 0.1417 0.5665 0.5665  4 Cu 2.41-2.55, 1 Pd 2.55, 1 Ni 2.55
Cu: 0.3082 0.9145 0.9145  2 Ni 2.32, 4 Cu 2.37-2.41
Cu: 0.4335 0.4335 0.8583  4 Cu 2.41-2.55, 1 Pd 2.55, 1 Ni 2.55
Cu: 0.4335 0.8583 0.4335  4 Cu 2.41-2.55, 1 Pd 2.55, 1 Ni 2.55
Cu: 0.5665 0.1417 0.5665  4 Cu 2.41-2.55, 1 Pd 2.55, 1 Ni 2.55
Cu: 0.5665 0.5665 0.1417  4 Cu 2.41-2.55, 1 Pd 2.55, 1 Ni 2.55
Cu: 0.6918 0.0855 0.0855  2 Ni 2.32, 4 Cu 2.37-2.41
Cu: 0.8583 0.4335 0.4335  4 Cu 2.41-2.55, 1 Pd 2.55, 1 Ni 2.55
Cu: 0.9145 0.3082 0.9145  2 Ni 2.32, 4 Cu 2.37-2.41
Cu: 0.9145 0.9145 0.3082  2 Ni 2.32, 4 Cu 2.37-2.41
Ni: 0.0000 0.5000 0.5000  6 Cu 2.32-2.55
Ni: 0.5000 0.0000 0.5000  6 Cu 2.32-2.55
Ni: 0.5000 0.5000 0.0000  6 Cu 2.32-2.55
Pd: 0.5000 0.5000 0.5000  6 Cu 2.55


Record 3
Entry from Alexandria via LeMat-Bulk: a relaxed AsIrW3 crystal (PBE).

total magnetization: 0.00 μB/atom
VASP energy: -8.786 eV per atom
DFT formation energy: 1.688 eV/atom
symmetry: No. 221

Cell: 4.5281 4.5281 4.5281 Å, 90.00 90.00 90.00°
With the nearest neighbours (Å) after each atom.
Fractional coordinates of all 5 atoms:
As: 0.0000 0.0000 0.0000  6 W 2.26
Ir: 0.5000 0.5000 0.5000  12 W 3.20
W: 0.0000 0.0000 0.5000  2 As 2.26
W: 0.0000 0.5000 0.0000  2 As 2.26
W: 0.5000 0.0000 0.0000  2 As 2.26


Record 4
Entry from Alexandria via LeMat-Bulk: a relaxed Cr3Fe crystal (PBE).

total magnetization: 0.01 μB/atom
VASP energy: -9.080 eV per atom
DFT formation energy: 0.253 eV/atom
symmetry: No. 194

Cell: 5.0329 5.0329 8.2939 Å, 90.00 90.00 120.00°
With the nearest neighbours (Å) after each atom.
Fractional coordinates of all 16 atoms:
Cr: 0.0000 0.5000 0.0000  8 Cr 2.52-2.53, 4 Fe 2.52-2.53
Cr: 0.0000 0.5000 0.5000  8 Cr 2.52-2.53, 4 Fe 2.52-2.53
Cr: 0.1660 0.3321 0.2500  8 Cr 2.51-2.53, 4 Fe 2.52-2.53
Cr: 0.1660 0.8340 0.2500  8 Cr 2.51-2.53, 4 Fe 2.52-2.53
Cr: 0.3321 0.1660 0.7500  8 Cr 2.51-2.53, 4 Fe 2.52-2.53
Cr: 0.5000 0.0000 0.0000  8 Cr 2.52-2.53, 4 Fe 2.52-2.53
Cr: 0.5000 0.0000 0.5000  8 Cr 2.52-2.53, 4 Fe 2.52-2.53
Cr: 0.5000 0.5000 0.0000  8 Cr 2.52-2.53, 4 Fe 2.52-2.53
Cr: 0.5000 0.5000 0.5000  8 Cr 2.52-2.53, 4 Fe 2.52-2.53
Cr: 0.6679 0.8340 0.2500  8 Cr 2.51-2.53, 4 Fe 2.52-2.53
Cr: 0.8340 0.1660 0.7500  8 Cr 2.51-2.53, 4 Fe 2.52-2.53
Cr: 0.8340 0.6679 0.7500  8 Cr 2.51-2.53, 4 Fe 2.52-2.53
Fe: 0.0000 0.0000 0.0000  12 Cr 2.52-2.53
Fe: 0.0000 0.0000 0.5000  12 Cr 2.52-2.53
Fe: 0.3333 0.6667 0.7500  12 Cr 2.52-2.53
Fe: 0.6667 0.3333 0.2500  12 Cr 2.52-2.53


Record 5
Entry from Alexandria via LeMat-Bulk: a relaxed AlFeNi3 crystal (PBE).

total magnetization: 0.92 μB/atom
VASP energy: -5.081 eV per atom
DFT formation energy: 0.829 eV/atom
symmetry: No. 221

Cell: 4.2606 4.2606 4.2606 Å, 90.00 90.00 90.00°
With the nearest neighbours (Å) after each atom.
Fractional coordinates of all 5 atoms:
Al: 0.0000 0.0000 0.0000  12 Ni 3.01
Fe: 0.5000 0.5000 0.5000  6 Ni 2.13
Ni: 0.0000 0.5000 0.5000  2 Fe 2.13
Ni: 0.5000 0.0000 0.5000  2 Fe 2.13
Ni: 0.5000 0.5000 0.0000  2 Fe 2.13


Record 6
Entry from Alexandria via LeMat-Bulk: a relaxed Np2PdRh4 crystal (PBE).

total magnetization: 0.74 μB/atom
VASP energy: -8.906 eV per atom
DFT formation energy: -0.266 eV/atom
symmetry: No. 2

Cell: 5.2134 5.4456 8.7114 Å, 85.24 85.46 85.45°
With the nearest neighbours (Å) after each atom.
Fractional coordinates of all 14 atoms:
Np: 0.1224 0.2751 0.0819  4 Rh 2.63-2.92
Np: 0.2909 0.3216 0.4571  3 Rh 2.52-2.63
Np: 0.7091 0.6784 0.5429  3 Rh 2.52-2.63
Np: 0.8776 0.7249 0.9181  4 Rh 2.63-2.92
Pd: 0.0092 0.7723 0.2593  6 Rh 2.71-2.92, 1 Np 2.85
Pd: 0.9908 0.2277 0.7407  6 Rh 2.71-2.92, 1 Np 2.85
Rh: 0.1600 0.8030 0.5646  1 Np 2.52, 3 Rh 2.75-2.83
Rh: 0.3358 0.8005 0.0021  3 Np 2.63-2.87, 1 Pd 2.71, 5 Rh 2.72-2.87
Rh: 0.4356 0.4959 0.7692  1 Np 2.52, 4 Rh 2.66-2.75
Rh: 0.4843 0.9818 0.2744  2 Np 2.63-2.92, 5 Rh 2.66-2.90, 2 Pd 2.82-2.88
Rh: 0.5157 0.0182 0.7256  2 Np 2.63-2.92, 5 Rh 2.66-2.90, 2 Pd 2.82-2.88
Rh: 0.5644 0.5041 0.2308  1 Np 2.52, 4 Rh 2.66-2.75
Rh: 0.6642 0.1995 0.9979  3 Np 2.63-2.87, 1 Pd 2.71, 5 Rh 2.72-2.87
Rh: 0.8400 0.1970 0.4354  1 Np 2.52, 3 Rh 2.75-2.83